## Ho8HgTe4As3 (PBE)

Data for a geometry-optimized Ho8HgTe4As3 structure.

Calculated values
Formation energy from raw total energies (eV/atom): -1.298
Raw total energy (eV/atom): -5.263

Geometry as POSCAR:
```
Ho8HgTe4As3
1.0
-7.177 3.898 2.174
0.753 -3.046 7.949
6.349 4.423 -3.400
Ho Hg Te As
8 1 4 3
Direct
0.244 0.725 0.981
0.244 0.725 0.488
0.261 0.283 0.522
0.737 0.725 0.981
0.263 0.275 0.019
0.739 0.717 0.478
0.756 0.275 0.512
0.756 0.275 0.019
0.000 0.500 0.000
0.500 0.000 0.000
0.500 0.000 0.500
0.000 0.000 0.000
0.000 0.000 0.500
0.500 0.500 0.000
0.500 0.500 0.500
0.000 0.500 0.500
```